# 1
Al2Ru | meta-GGA SCAN | single point on PBEsol structure

Unit cell a=3.1489 b=12.6582 c=4.1244 alpha=90.00 beta=90.00 gamma=90.00
With the nearest neighbours (Å) after each atom.
Space group Cmcm (No. 63)
One atom of each set of equivalent atoms:
Al (0.0000, 0.0666, 0.2500) [4 per cell]  6 Ru 2.61-2.62, 4 Al 2.66-2.74
Al (0.0000, 0.2559, 0.7500) [4 per cell]  4 Ru 2.55-2.77, 6 Al 2.60-2.74
Ru (0.0000, 0.4024, 0.2500) [4 per cell]  10 Al 2.55-2.77

## Properties
* magnetic moment: 0.001 μB/f.u.
* DFT total energy: -52.7 eV/f.u.
* energy of formation: -0.778 eV/atom
* DOS(E_F): 3.6 states/eV per cell

***

# 2
Al5Ru | meta-GGA SCAN | single point on PBEsol structure

Unit cell a=4.7467 b=4.7467 c=4.5036 alpha=90.00 beta=90.00 gamma=120.00
With the nearest neighbours (Å) after each atom.
Space group P-62m (No. 189)
One atom of each set of equivalent atoms:
Al (0.0000, 0.6819, 0.0000) [3 per cell]  10 Al 2.62-2.81, 2 Ru 2.71
Al (0.3333, 0.6667, 0.5000) [2 per cell]  3 Ru 2.74, 9 Al 2.74-2.77
Ru (0.0000, 0.0000, 0.5000) [1 per cell]  12 Al 2.71-2.74

## Properties
* magnetic moment: 0.000 μB/f.u.
* DFT total energy: -75.9 eV/f.u.
* energy of formation: -0.381 eV/atom
* DOS(E_F): 1.9 states/eV per cell

***

# 3
Al2Ru | meta-GGA SCAN | single point on PBEsol structure

Unit cell a=4.2915 b=4.2915 c=5.2620 alpha=90.00 beta=90.00 gamma=120.00
With the nearest neighbours (Å) after each atom.
Space group P6_3/mmc (No. 194)
One atom of each set of equivalent atoms:
Al (0.0000, 0.0000, 0.0000) [2 per cell]  8 Al 2.63-2.81, 6 Ru 2.81
Al (0.3333, 0.6667, 0.2500) [2 per cell]  5 Ru 2.48-2.63
Ru (0.3333, 0.6667, 0.7500) [2 per cell]  5 Al 2.48-2.63

## Properties
* magnetic moment: 0.000 μB/f.u.
* DFT total energy: -51.8 eV/f.u.
* energy of formation: -0.502 eV/atom
* DOS(E_F): 3.3 states/eV per cell

***

# 4
Al2Ru | meta-GGA SCAN | single point on PBEsol structure

Unit cell a=5.0366 b=4.1284 c=7.9603 alpha=90.00 beta=90.00 gamma=90.00
With the nearest neighbours (Å) after each atom.
Space group Pnma (No. 62)
One atom of each set of equivalent atoms:
Al (0.1165, 0.2500, 0.2009) [4 per cell]  5 Ru 2.54-2.74, 5 Al 2.64-2.76
Al (0.1520, 0.2500, 0.5471) [4 per cell]  5 Ru 2.59-2.67, 5 Al 2.67-2.76
Ru (0.1525, 0.2500, 0.8729) [4 per cell]  10 Al 2.54-2.74

## Properties
* magnetic moment: 0.002 μB/f.u.
* DFT total energy: -52.6 eV/f.u.
* energy of formation: -0.766 eV/atom
* DOS(E_F): 5.0 states/eV per cell

***

# 5
AlRu2 | meta-GGA SCAN | single point on PBEsol structure

Unit cell a=3.8940 b=3.8940 c=3.0386 alpha=90.00 beta=90.00 gamma=90.00
With the nearest neighbours (Å) after each atom.
Space group P4/mmm (No. 123)
One atom of each set of equivalent atoms:
Al (0.0000, 0.0000, 0.0000) [1 per cell]  8 Ru 2.47
Ru (0.0000, 0.5000, 0.5000) [2 per cell]  4 Al 2.47, 4 Ru 2.75

## Properties
* magnetic moment: 0.002 μB/f.u.
* DFT total energy: -76.1 eV/f.u.
* energy of formation: 0.451 eV/atom
* DOS(E_F): 4.4 states/eV per cell

***

# 6
Al2Ru | meta-GGA SCAN | single point on PBEsol structure

Unit cell a=4.6993 b=7.9715 c=8.7684 alpha=90.00 beta=90.00 gamma=90.00
With the nearest neighbours (Å) after each atom.
Space group Fddd (No. 70, origin choice 2)
One atom of each set of equivalent atoms:
Al (0.1250, 0.2960, 0.1250) [16 per cell]  5 Ru 2.57-2.72, 5 Al 2.59-2.73
Ru (0.1250, 0.1250, 0.6250) [8 per cell]  10 Al 2.57-2.72

## Properties
* magnetic moment: 0.000 μB/f.u.
* DFT total energy: -52.9 eV/f.u.
* energy of formation: -0.858 eV/atom
* DOS(E_F): 0.1 states/eV per cell

***

# 7
AlRu2 | meta-GGA SCAN | single point on PBEsol structure

Unit cell a=7.0768 b=7.0768 c=7.0768 alpha=90.00 beta=90.00 gamma=90.00
With the nearest neighbours (Å) after each atom.
Space group Fd-3m (No. 227, origin choice 2)
One atom of each set of equivalent atoms:
Al (0.1250, 0.1250, 0.1250) [8 per cell]  12 Ru 2.93, 4 Al 3.06
Ru (0.0000, 0.0000, 0.5000) [16 per cell]  6 Ru 2.50

## Properties
* magnetic moment: 0.001 μB/f.u.
* DFT total energy: -77.0 eV/f.u.
* energy of formation: 0.138 eV/atom
* DOS(E_F): 29.9 states/eV per cell

***

# 8
AlRu2 | meta-GGA SCAN | single point on PBEsol structure

Unit cell a=5.7599 b=5.7599 c=4.9358 alpha=90.00 beta=90.00 gamma=90.00
With the nearest neighbours (Å) after each atom.
Space group I4/mcm (No. 140)
One atom of each set of equivalent atoms:
Al (0.0000, 0.0000, 0.2500) [4 per cell]  2 Al 2.47, 8 Ru 2.52
Ru (0.1493, 0.3507, 0.0000) [8 per cell]  1 Ru 2.43, 4 Al 2.52

## Properties
* magnetic moment: 0.000 μB/f.u.
* DFT total energy: -77.9 eV/f.u.
* energy of formation: -0.159 eV/atom
* DOS(E_F): 14.5 states/eV per cell

***

# 9
Al2Ru | meta-GGA SCAN | single point on PBEsol structure

Unit cell a=3.1205 b=3.1205 c=8.4163 alpha=90.00 beta=90.00 gamma=90.00
With the nearest neighbours (Å) after each atom.
Space group I4/mmm (No. 139)
One atom of each set of equivalent atoms:
Al (0.0000, 0.0000, 0.1593) [4 per cell]  5 Ru 2.58-2.87, 5 Al 2.68
Ru (0.0000, 0.0000, 0.5000) [2 per cell]  10 Al 2.58-2.87

## Properties
* magnetic moment: 0.000 μB/f.u.
* DFT total energy: -52.9 eV/f.u.
* energy of formation: -0.853 eV/atom
* DOS(E_F): 0.3 states/eV per cell

***

# 10
AlRu5 | meta-GGA SCAN | single point on PBEsol structure

Unit cell a=9.7310 b=2.7172 c=6.2886 alpha=90.00 beta=104.30 gamma=90.00
With the nearest neighbours (Å) after each atom.
Space group Cm (No. 8)
One atom of each set of equivalent atoms:
Al (0.0000, 0.0000, 0.0000) [2 per cell]  10 Ru 2.63-2.77, 2 Al 2.72
Ru (0.0516, 0.0000, 0.6051) [2 per cell]  11 Ru 2.59-2.72, 1 Al 2.65
Ru (0.1630, 0.5000, 0.3296) [2 per cell]  10 Ru 2.60-2.72, 2 Al 2.65
Ru (0.2222, 0.5000, 0.9317) [2 per cell]  9 Ru 2.59-2.72, 3 Al 2.63-2.68
Ru (0.3241, 0.0000, 0.6544) [2 per cell]  10 Ru 2.56-2.72, 2 Al 2.77
Ru (0.3792, 0.0000, 0.2763) [2 per cell]  10 Ru 2.56-2.72, 2 Al 2.69

## Properties
* magnetic moment: 0.000 μB/f.u.
* DFT total energy: -182.9 eV/f.u.
* energy of formation: -0.175 eV/atom
* DOS(E_F): 8.8 states/eV per cell

***

# 11
AlRuS2 | meta-GGA SCAN | single point on PBEsol structure

Unit cell a=3.2028 b=3.2028 c=21.9092 alpha=90.00 beta=90.00 gamma=120.00
With the nearest neighbours (Å) after each atom.
Space group R-3m (No. 166, hexagonal axes)
One atom of each set of equivalent atoms:
Al (0.0000, 0.0000, 0.0000) [3 per cell]  6 S 2.33
Ru (0.0000, 0.0000, 0.5000) [3 per cell]  2 S 2.23
S (0.0000, 0.0000, 0.3983) [6 per cell]  1 Ru 2.23, 3 Al 2.33

## Properties
* magnetic moment: 0.004 μB/f.u.
* DFT total energy: -62.9 eV/f.u.
* formation energy without anion corrections: -105 kJ/mol of formula units
* DOS(E_F): 8.5 states/eV per cell

***

# 12
AlRu3S | meta-GGA SCAN | single point on PBEsol structure

Unit cell a=4.2444 b=4.2444 c=4.2444 alpha=90.00 beta=90.00 gamma=90.00
With the nearest neighbours (Å) after each atom.
Space group Pm-3m (No. 221)
One atom of each set of equivalent atoms:
Al (0.0000, 0.0000, 0.0000) [1 per cell]  12 Ru 3.00
Ru (0.0000, 0.5000, 0.5000) [3 per cell]  2 S 2.12
S (0.5000, 0.5000, 0.5000) [1 per cell]  6 Ru 2.12

## Properties
* magnetic moment: 0.000 μB/f.u.
* DFT total energy: -120.5 eV/f.u.
* formation energy without anion corrections: 127 kJ/mol of formula units
* DOS(E_F): 2.6 states/eV per cell

***

# 13
AlSb2Ru | meta-GGA SCAN | single point on PBEsol structure

Unit cell a=4.2727 b=4.2727 c=8.2901 alpha=90.00 beta=90.00 gamma=90.00
With the nearest neighbours (Å) after each atom.
Space group I-4m2 (No. 119)
One atom of each set of equivalent atoms:
Al (0.0000, 0.0000, 0.0000) [2 per cell]  8 Sb 2.98-3.02, 4 Ru 2.98
Sb (0.0000, 0.0000, 0.5000) [2 per cell]  4 Sb 2.98, 4 Ru 2.98, 4 Al 3.02
Sb (0.0000, 0.5000, 0.7500) [2 per cell]  4 Sb 2.98, 4 Al 2.98, 4 Ru 3.02
Ru (0.0000, 0.5000, 0.2500) [2 per cell]  8 Sb 2.98-3.02, 4 Al 2.98

## Properties
* magnetic moment: 0.000 μB/f.u.
* DFT total energy: -115.6 eV/f.u.
* formation energy without anion corrections: 148 kJ/mol of formula units
* DOS(E_F): 4.6 states/eV per cell